This record from Alexandria via LeMat-Bulk describes a relaxed structure of AcPrTe2. The functional is PBE-GGA.

Values from the calculation:
Formation energy without anion corrections, eV/atom: -1.452
Crystal system: tetragonal
Total moment, μB/cell: 0.00
Space-group type: No. 141

Unit cell a=6.5618 b=6.5618 c=8.0326 alpha=114.11 beta=114.11 gamma=90.00
Fractional coordinates of all 8 atoms:
1 Ac 0.7500 0.2500 0.5000
2 Te 0.0039 0.5039 0.0078
3 Te 0.7461 0.7461 0.4922
4 Te 0.2539 0.2539 0.5078
5 Pr 0.2500 0.7500 0.5000
6 Te 0.4961 0.9961 0.9922
7 Ac 0.0000 0.0000 0.0000
8 Pr 0.5000 0.5000 0.0000

---

This record from Alexandria via LeMat-Bulk describes a relaxed structure of Ac5PrTe6. The functional is PBE-GGA.

Values from the calculation:
Formation energy without anion corrections, eV/atom: -1.482
Crystal system: monoclinic
Total moment, μB/cell: 0.00
Space-group type: No. 12

Unit cell a=8.1369 b=8.1271 c=8.1546 alpha=60.11 beta=80.34 gamma=70.31
Fractional coordinates of all 12 atoms:
1 Te 0.7556 0.4079 0.6729
2 Te 0.7505 0.7572 0.0000
3 Ac 0.0000 0.3347 0.3306
4 Pr 0.0000 0.0000 0.0000
5 Te 0.2495 0.2428 0.0000
6 Ac 0.5000 0.1700 0.6599
7 Te 0.2444 0.5921 0.3271
8 Ac 0.5000 0.5000 0.0000
9 Te 0.7556 0.0808 0.3271
10 Ac 0.5000 0.8300 0.3401
11 Ac 0.0000 0.6653 0.6694
12 Te 0.2444 0.9192 0.6729

---

This record from Alexandria via LeMat-Bulk describes a relaxed structure of AcPr3Te6. The functional is PBE-GGA.

Values from the calculation:
Formation energy without anion corrections, eV/atom: -1.483
Crystal system: monoclinic
Total moment, μB/cell: 0.00
Space-group type: No. 11

Unit cell a=4.5952 b=12.9223 c=13.3273 alpha=109.19 beta=90.00 gamma=90.00
Fractional coordinates of all 20 atoms:
1 Pr 0.2500 0.3199 0.4994
2 Te 0.7500 0.4858 0.6164
3 Te 0.2500 0.0868 0.9036
4 Pr 0.7500 0.6801 0.5006
5 Te 0.7500 0.1188 0.4671
6 Te 0.2500 0.6085 0.9428
7 Ac 0.7500 0.0477 0.6951
8 Ac 0.2500 0.9523 0.3049
9 Pr 0.7500 0.1564 0.0841
10 Te 0.7500 0.7397 0.2747
11 Te 0.2500 0.5142 0.3836
12 Te 0.7500 0.8049 0.7492
13 Te 0.2500 0.8812 0.5329
14 Te 0.2500 0.1951 0.2508
15 Pr 0.7500 0.4387 0.8336
16 Pr 0.2500 0.8436 0.9159
17 Pr 0.2500 0.5613 0.1664
18 Te 0.7500 0.9132 0.0964
19 Te 0.7500 0.3915 0.0572
20 Te 0.2500 0.2603 0.7253

---

This record from Alexandria via LeMat-Bulk describes a relaxed structure of Ac4PrTe5. The functional is PBE-GGA.

Values from the calculation:
Formation energy without anion corrections, eV/atom: -1.481
Crystal system: trigonal
Total moment, μB/cell: 0.00
Space-group type: No. 166

Unit cell a=4.7093 b=4.7093 c=19.2086 alpha=82.96 beta=82.96 gamma=60.00
Fractional coordinates of all 10 atoms:
1 Ac 0.1024 0.1024 0.6928
2 Te 0.4015 0.4015 0.7954
3 Ac 0.2994 0.2994 0.1018
4 Te 0.1973 0.1973 0.4080
5 Ac 0.7006 0.7006 0.8982
6 Te 0.8027 0.8027 0.5920
7 Te 0.5985 0.5985 0.2046
8 Pr 0.5000 0.5000 0.5000
9 Ac 0.8976 0.8976 0.3072
10 Te 0.0000 0.0000 0.0000